No. 1
This record from the Alexandria database describes an optimized crystal structure of RbPaCl6. The functional is PBE.

Calculated values
- magnetic moment (μB per atom) = 0.000
- volume (Å³ per atom) = 38.2
- E_form (uncorrected) (eV per atom) = -1.916
- SG = R-3m, No. 166
- energy above the lowest structure with this stoichiometry (eV per atom) = 0.0258

Lattice parameters (Å, degrees): 7.2690 7.2690 7.8876 62.56 62.56 60.00
Last column: nearest neighbours and their distance in Å.
Atoms (fractional coordinates):
1 Rb 0.5000 0.5000 0.5000  12 Cl 4.08
2 Pa 0.0000 0.0000 0.0000  6 Cl 2.56
3 Cl 0.9097 0.9097 0.7761  1 Pa 2.56
4 Cl 0.4045 0.9097 0.7761  1 Pa 2.56
5 Cl 0.0903 0.5955 0.2239  1 Pa 2.56
6 Cl 0.5955 0.0903 0.2239  1 Pa 2.56
7 Cl 0.0903 0.0903 0.2239  1 Pa 2.56
8 Cl 0.9097 0.4045 0.7761  1 Pa 2.56

No. 2
This record from the Alexandria database describes an optimized crystal structure of Sr3Li2Pt2. The functional is PBE.

Calculated values
- magnetic moment (μB per atom) = 0.000
- volume (Å³ per atom) = 26.6
- formation energy from the elements (kJ/mol of formula units) = -382.3
- SG = Pbcm, No. 57

Lattice parameters (Å, degrees): 6.6572 7.7654 14.4093 90.00 90.00 90.00
Last column: nearest neighbours and their distance in Å.
Atoms (fractional coordinates):
1 Sr 0.0775 0.5763 0.1140  4 Pt 3.08-3.31
2 Sr 0.9225 0.4237 0.6140  4 Pt 3.08-3.31
3 Sr 0.9225 0.0763 0.3860  4 Pt 3.08-3.31
4 Sr 0.0775 0.9237 0.8860  4 Pt 3.08-3.31
5 Sr 0.9225 0.4237 0.8860  4 Pt 3.08-3.31
6 Sr 0.0775 0.5763 0.3860  4 Pt 3.08-3.31
7 Sr 0.0775 0.9237 0.6140  4 Pt 3.08-3.31
8 Sr 0.9225 0.0763 0.1140  4 Pt 3.08-3.31
9 Sr 0.3791 0.2204 0.2500  2 Pt 3.01-3.05, 2 Li 3.33
10 Sr 0.6209 0.7796 0.7500  2 Pt 3.01-3.05, 2 Li 3.33
11 Sr 0.6209 0.7204 0.2500  2 Pt 3.01-3.05, 2 Li 3.33
12 Sr 0.3791 0.2796 0.7500  2 Pt 3.01-3.05, 2 Li 3.33
13 Li 0.5940 0.4282 0.0742  1 Li 2.72, 3 Pt 2.72-2.94
14 Li 0.4060 0.5718 0.5742  1 Li 2.72, 3 Pt 2.72-2.94
15 Li 0.4060 0.9282 0.4258  1 Li 2.72, 3 Pt 2.72-2.94
16 Li 0.5940 0.0718 0.9258  1 Li 2.72, 3 Pt 2.72-2.94
17 Li 0.4060 0.5718 0.9258  1 Li 2.72, 3 Pt 2.72-2.94
18 Li 0.5940 0.4282 0.4258  1 Li 2.72, 3 Pt 2.72-2.94
19 Li 0.5940 0.0718 0.5742  1 Li 2.72, 3 Pt 2.72-2.94
20 Li 0.4060 0.9282 0.0742  1 Li 2.72, 3 Pt 2.72-2.94
21 Pt 0.2814 0.2500 0.0000  4 Li 2.72-2.84
22 Pt 0.7186 0.7500 0.5000  4 Li 2.72-2.84
23 Pt 0.7186 0.7500 0.0000  4 Li 2.72-2.84
24 Pt 0.2814 0.2500 0.5000  4 Li 2.72-2.84
25 Pt 0.8046 0.3656 0.2500  2 Li 2.94, 6 Sr 3.01-3.13
26 Pt 0.1954 0.6344 0.7500  2 Li 2.94, 6 Sr 3.01-3.13
27 Pt 0.1954 0.8656 0.2500  2 Li 2.94, 6 Sr 3.01-3.13
28 Pt 0.8046 0.1344 0.7500  2 Li 2.94, 6 Sr 3.01-3.13

No. 3
This record from the Alexandria database describes an optimized crystal structure of TlHg4I2. The functional is PBE.

Calculated values
- magnetic moment (μB per atom) = 0.000
- volume (Å³ per atom) = 41.6
- E_form (uncorrected) (eV per atom) = -0.050
- SG = I4/mmm, No. 139

Lattice parameters (Å, degrees): 5.9719 5.9719 9.1926 108.95 108.95 90.00
Last column: nearest neighbours and their distance in Å.
Atoms (fractional coordinates):
1 I 0.6350 0.6350 0.2699  1 Hg 2.96
2 I 0.3650 0.3650 0.7301  1 Hg 2.96
3 Tl 0.0000 0.0000 0.0000  6 Hg 2.99-3.00
4 Hg 0.8162 0.8162 0.6325  1 I 2.96, 1 Tl 3.00
5 Hg 0.1838 0.1838 0.3675  1 I 2.96, 1 Tl 3.00
6 Hg 0.0000 0.5000 0.0000  2 Tl 2.99
7 Hg 0.5000 0.0000 0.0000  2 Tl 2.99

No. 4
This record from the Alexandria database describes an optimized crystal structure of Ba5IrAu2. The functional is PBE.

Calculated values
- magnetic moment (μB per atom) = 0.000
- volume (Å³ per atom) = 40.8
- formation energy from the elements (kJ/mol of formula units) = -324.5
- SG = C2/c, No. 15

Lattice parameters (Å, degrees): 7.8269 8.6600 10.4514 96.31 111.99 90.00
Last column: nearest neighbours and their distance in Å.
Atoms (fractional coordinates):
1 Ba 0.5085 0.5787 0.7969  1 Ir 3.08, 2 Au 3.35-3.42
2 Ba 0.0720 0.7500 0.0000  4 Au 3.33-3.37
3 Ba 0.9280 0.2500 0.0000  4 Au 3.33-3.37
4 Ba 0.8604 0.6954 0.5751  2 Ir 3.08-3.14
5 Ba 0.1396 0.3046 0.4249  2 Ir 3.08-3.14
6 Ba 0.7147 0.1954 0.5751  2 Ir 3.08-3.14
7 Ba 0.2853 0.8046 0.4249  2 Ir 3.08-3.14
8 Ba 0.4915 0.4213 0.2031  1 Ir 3.08, 2 Au 3.35-3.42
9 Ba 0.2884 0.0787 0.7969  1 Ir 3.08, 2 Au 3.35-3.42
10 Ba 0.7116 0.9213 0.2031  1 Ir 3.08, 2 Au 3.35-3.42
11 Ir 0.0000 0.0000 0.5000  6 Ba 3.08-3.14
12 Ir 0.5000 0.5000 0.5000  6 Ba 3.08-3.14
13 Au 0.1102 0.4299 0.8069  6 Ba 3.33-3.59
14 Au 0.6967 0.9299 0.8069  6 Ba 3.33-3.59
15 Au 0.8898 0.5701 0.1931  6 Ba 3.33-3.59
16 Au 0.3033 0.0701 0.1931  6 Ba 3.33-3.59

No. 5
This record from the Alexandria database describes an optimized crystal structure of MgCuPO2. The functional is PBE.

Calculated values
- magnetic moment (μB per atom) = 0.503
- volume (Å³ per atom) = 15.8
- E_form (uncorrected) (eV per atom) = 0.001
- SG = P4/mmm, No. 123
- energy above the lowest structure with this stoichiometry (eV per atom) = 0.0841

Lattice parameters (Å, degrees): 3.7352 3.7352 5.6587 90.00 90.00 90.00
Last column: nearest neighbours and their distance in Å.
Atoms (fractional coordinates):
1 P 0.0000 0.0000 0.5000  4 Cu 2.64, 2 Mg 2.83
2 Mg 0.0000 0.0000 0.0000  4 O 1.87
3 O 0.0000 0.5000 0.0000  2 Mg 1.87
4 O 0.5000 0.0000 0.0000  2 Mg 1.87
5 Cu 0.5000 0.5000 0.5000  4 P 2.64

No. 6
This record from the Alexandria database describes an optimized crystal structure of PtW2Br. The functional is PBE.

Calculated values
- magnetic moment (μB per atom) = 0.000
- volume (Å³ per atom) = 16.3
- E_form (uncorrected) (eV per atom) = 0.793
- SG = Fm-3m, No. 225
- energy above the lowest structure with this stoichiometry (eV per atom) = 0.3881

Lattice parameters (Å, degrees): 4.5137 4.5137 4.5137 60.00 60.00 60.00
Last column: nearest neighbours and their distance in Å.
Atoms (fractional coordinates):
1 Br 0.0000 0.0000 0.0000  8 W 2.76
2 W 0.2500 0.2500 0.2500  4 Br 2.76, 4 Pt 2.76
3 W 0.7500 0.7500 0.7500  4 Pt 2.76, 4 Br 2.76
4 Pt 0.5000 0.5000 0.5000  8 W 2.76

No. 7
This record from the Alexandria database describes an optimized crystal structure of YSnBSe2. The functional is PBE.

Calculated values
- magnetic moment (μB per atom) = 0.000
- volume (Å³ per atom) = 28.5
- E_form (uncorrected) (eV per atom) = 0.278
- SG = P4/mmm, No. 123

Lattice parameters (Å, degrees): 5.4623 4.7765 5.4623 90.00 90.00 90.00
Last column: nearest neighbours and their distance in Å.
Atoms (fractional coordinates):
1 Y 0.0000 0.0000 0.0000  2 B 2.39
2 B 0.0000 0.5000 0.0000  2 Y 2.39
3 Sn 0.5000 0.5000 0.5000  8 Se 3.63, 4 B 3.86
4 Se 0.0000 0.0000 0.5000  2 Y 2.73
5 Se 0.5000 0.0000 0.0000  2 Y 2.73

No. 8
This record from the Alexandria database describes an optimized crystal structure of LaNd3Dy2S6. The functional is PBE.

Calculated values
- magnetic moment (μB per atom) = 0.000
- volume (Å³ per atom) = 23.1
- E_form (uncorrected) (eV per atom) = -2.039
- SG = C2/m, No. 12

Lattice parameters (Å, degrees): 6.9811 6.9811 6.9888 99.60 99.60 120.12
Last column: nearest neighbours and their distance in Å.
Atoms (fractional coordinates):
1 La 0.0000 0.0000 0.0000  6 S 2.87-2.89
2 Nd 0.1624 0.8376 0.5000  6 S 2.85-2.91
3 Nd 0.8376 0.1624 0.5000  6 S 2.85-2.91
4 Nd 0.5000 0.5000 0.5000  6 S 2.83-2.91
5 Dy 0.3330 0.6670 0.0000  6 S 2.77-2.79
6 Dy 0.6670 0.3330 0.0000  6 S 2.77-2.79
7 S 0.9191 0.5745 0.7575  2 Dy 2.79, 3 Nd 2.85-2.91, 1 La 2.89
8 S 0.7343 0.7343 0.2378  2 Dy 2.77, 3 Nd 2.83-2.89, 1 La 2.87
9 S 0.0809 0.4255 0.2425  2 Dy 2.79, 3 Nd 2.85-2.91, 1 La 2.89
10 S 0.5745 0.9191 0.7575  2 Dy 2.79, 3 Nd 2.85-2.91, 1 La 2.89
11 S 0.2657 0.2657 0.7622  2 Dy 2.77, 3 Nd 2.83-2.89, 1 La 2.87
12 S 0.4255 0.0809 0.2425  2 Dy 2.79, 3 Nd 2.85-2.91, 1 La 2.89

No. 9
This record from the Alexandria database describes an optimized crystal structure of AlBTe2. The functional is PBE.

Calculated values
- magnetic moment (μB per atom) = 0.000
- volume (Å³ per atom) = 20.5
- E_form (uncorrected) (eV per atom) = 0.972
- SG = Fm-3m, No. 225
- energy above the lowest structure with this stoichiometry (eV per atom) = 0.5479

Lattice parameters (Å, degrees): 4.8773 4.8773 4.8773 60.00 60.00 60.00
Last column: nearest neighbours and their distance in Å.
Atoms (fractional coordinates):
1 B 0.0000 0.0000 0.0000  8 Te 2.99
2 Te 0.2500 0.2500 0.2500  4 B 2.99, 4 Al 2.99
3 Te 0.7500 0.7500 0.7500  4 Al 2.99, 4 B 2.99
4 Al 0.5000 0.5000 0.5000  8 Te 2.99

No. 10
This record from the Alexandria database describes an optimized crystal structure of GdThTeSe. The functional is PBE.

Calculated values
- magnetic moment (μB per atom) = 1.873
- volume (Å³ per atom) = 26.0
- E_form (uncorrected) (eV per atom) = -1.269
- SG = F-43m, No. 216

Lattice parameters (Å, degrees): 5.2753 5.2753 5.2753 60.00 60.00 60.00
Last column: nearest neighbours and their distance in Å.
Atoms (fractional coordinates):
1 Gd 0.5000 0.5000 0.5000  4 Se 3.23, 4 Te 3.23
2 Te 0.7500 0.7500 0.7500  4 Gd 3.23, 4 Th 3.23
3 Se 0.2500 0.2500 0.2500  4 Gd 3.23, 4 Th 3.23
4 Th 0.0000 0.0000 0.0000  4 Te 3.23, 4 Se 3.23

No. 11
This record from the Alexandria database describes an optimized crystal structure of ZrVBr. The functional is PBE.

Calculated values
- magnetic moment (μB per atom) = 0.071
- volume (Å³ per atom) = 24.7
- E_form (uncorrected) (eV per atom) = -0.200
- SG = Pm, No. 6
- energy above the lowest structure with this stoichiometry (eV per atom) = 0.0925

Lattice parameters (Å, degrees): 3.7207 4.2887 9.4797 90.03 101.15 89.99
Last column: nearest neighbours and their distance in Å.
Atoms (fractional coordinates):
1 Br 0.2724 0.8386 0.9483  4 V 2.63-2.78
2 Br 0.5959 0.3396 0.6049  4 Zr 2.85-3.01
3 Zr 0.4841 0.8395 0.3779  4 V 2.83-3.10, 4 Zr 2.84, 2 Br 3.01
4 Zr 0.9814 0.3395 0.3725  4 Zr 2.84, 2 Br 2.85, 4 V 2.87-2.99
5 V 0.3657 0.3392 0.1376  2 Br 2.77-2.78, 4 V 2.84, 4 Zr 2.87-3.10
6 V 0.8708 0.8394 0.1479  2 Br 2.63, 2 Zr 2.83, 4 V 2.84

No. 12
This record from the Alexandria database describes an optimized crystal structure of NaAl2AsO6. The functional is PBE.

Calculated values
- magnetic moment (μB per atom) = 0.000
- volume (Å³ per atom) = 12.7
- E_form (uncorrected) (eV per atom) = -2.234
- SG = C2/c, No. 15

Lattice parameters (Å, degrees): 5.8336 7.0042 7.0042 102.64 75.12 75.12
Last column: nearest neighbours and their distance in Å.
Atoms (fractional coordinates):
1 Na 0.2500 0.8987 0.1013  6 O 2.40-2.56
2 Na 0.7500 0.1013 0.8987  6 O 2.40-2.56
3 Al 0.3395 0.7018 0.5525  5 O 1.79-1.99
4 Al 0.1605 0.4475 0.2982  5 O 1.79-1.99
5 Al 0.6605 0.2982 0.4475  5 O 1.79-1.99
6 Al 0.8395 0.5525 0.7018  5 O 1.79-1.99
7 As 0.2500 0.1922 0.8078  4 O 1.71-1.72
8 As 0.7500 0.8078 0.1922  4 O 1.71-1.72
9 O 0.2001 0.9571 0.7694  1 As 1.72, 1 Al 1.90
10 O 0.2999 0.2306 0.0429  1 As 1.72, 1 Al 1.90
11 O 0.7999 0.0429 0.2306  1 As 1.72, 1 Al 1.90
12 O 0.7001 0.7694 0.9571  1 As 1.72, 1 Al 1.90
13 O 0.4708 0.8249 0.3624  1 As 1.71, 1 Al 1.85
14 O 0.0292 0.6376 0.1751  1 As 1.71, 1 Al 1.85
15 O 0.5292 0.1751 0.6376  1 As 1.71, 1 Al 1.85
16 O 0.9708 0.3624 0.8249  1 As 1.71, 1 Al 1.85
17 O 0.0391 0.6702 0.5673  3 Al 1.79-1.99
18 O 0.4609 0.4327 0.3298  3 Al 1.79-1.99
19 O 0.9609 0.3298 0.4327  3 Al 1.79-1.99
20 O 0.5391 0.5673 0.6702  3 Al 1.79-1.99